VASP calculation (meta-GGA SCAN) on La4Se7S at its PBEsol-relaxed geometry.

Uncorrected formation energy in eV per atom: -2.0168

Cell and atoms, written as POSCAR:
```
La4Se7S
1.0
4.175 0.000 0.000
-0.003 8.372 0.000
-0.001 -0.016 8.453
La Se S
4 7 1
direct
0.000 0.000 0.000
0.040 0.500 0.990
0.490 0.241 0.437
0.546 0.753 0.438
0.025 0.499 0.351
0.084 0.756 0.714
0.458 0.993 0.719
0.513 0.248 0.080
0.525 0.749 0.080
0.577 0.491 0.715
0.951 0.253 0.714
0.011 0.999 0.352
```